# NpTiGeO6, optimized geometry, DFT PBE
# E_form (uncorrected)   -21.39 eV/f.u.
# Volume   13.5 Å³/atom
# Total DFT energy (no corrections)   -8.511 eV per atom
data_NpTiGeO6
_chemical_formula_sum 'Np2 Ti2 Ge2 O12'
_space_group_name_H-M_alt 'P 1'
_space_group_IT_number 1
_cell_length_a 5.408
_cell_length_b 5.408
_cell_length_c 9.575
_cell_angle_alpha 90.00
_cell_angle_beta 90.00
_cell_angle_gamma 120.00
loop_
_space_group_symop_operation_xyz
'x,y,z'
loop_
_atom_site_label
_atom_site_fract_x
_atom_site_fract_y
_atom_site_fract_z
O1 0.354 0.366 0.861
O2 0.646 0.012 0.361
Ti1 0.667 0.333 0.250
O3 0.646 0.634 0.139
O4 0.354 0.988 0.639
O5 0.012 0.646 0.861
Np1 0.333 0.667 0.250
O6 0.634 0.988 0.861
O7 0.988 0.634 0.361
O8 0.012 0.366 0.639
O9 0.988 0.354 0.139
Np2 0.667 0.333 0.750
Ti2 0.333 0.667 0.750
Ge1 0.000 0.000 0.000
Ge2 0.000 0.000 0.500
O10 0.366 0.012 0.139
O11 0.634 0.646 0.639
O12 0.366 0.354 0.361